# GGA-PBE Pa2MnIn, optimized geometry
data_Pa2MnIn
_chemical_formula_sum 'Pa6 Mn3 In3'
_symmetry_space_group_name_H-M 'R -3 m'
_symmetry_Int_Tables_number 166
_symmetry_space_group_name_Hall '-R 3 2"'
_cell_length_a 4.5921
_cell_length_b 4.5921
_cell_length_c 15.0278
_cell_angle_alpha 90.00
_cell_angle_beta 90.00
_cell_angle_gamma 120.00
loop_
_atom_site_label
_atom_site_type_symbol
_atom_site_fract_x
_atom_site_fract_y
_atom_site_fract_z
_atom_site_occupancy
Pa1 Pa 0.0000 0.0000 0.2307 1
Mn1 Mn 0.0000 0.0000 0.5000 1
In1 In 0.0000 0.0000 0.0000 1
# Fermi-level density of states: 20.0 states/eV/cell
# energy relative to the lowest polymorph listed for this composition: 464.7 meV/atom